! KCrW PBE-GGA relaxed; values from VASP
! Symmetry ... I4mm (107)
! Energy ... -20.4 eV per formula unit
! ΔH_f (0 K) ... 1.10 eV/atom
! ρ ... 6.64 g/cm3
! ΔE to the lowest computed polymorph ... 0.000 eV per atom
! Total magnetic moment ... 1.134 μB per formula unit
&SYSTEM
  ibrav = 0, nat = 3, ntyp = 3
/
ATOMIC_SPECIES
K 39.10 K.upf
W 183.84 W.upf
Cr 52.00 Cr.upf
ATOMIC_POSITIONS crystal
K 0.339 0.339 0.000
W 0.618 0.618 0.000
Cr 0.043 0.043 0.000
CELL_PARAMETERS angstrom
-4.081 -5.105 -3.096
-2.377 -6.796 0.678
1.447 6.687 2.343

***

! KCr2W PBE-GGA relaxed; values from VASP
! Symmetry ... P2/m (10)
! Energy ... -29.8 eV per formula unit
! ΔH_f (0 K) ... 0.89 eV/atom
! ρ ... 6.41 g/cm3
! ΔE to the lowest computed polymorph ... 0.048 eV per atom
! Total magnetic moment ... 0.000 μB per formula unit
&SYSTEM
  ibrav = 0, nat = 4, ntyp = 3
/
ATOMIC_SPECIES
Cr 52.00 Cr.upf
W 183.84 W.upf
K 39.10 K.upf
ATOMIC_POSITIONS crystal
Cr 0.000 0.124 0.881
Cr 0.000 0.376 0.619
W 0.500 0.750 0.750
K 0.500 0.250 0.250
CELL_PARAMETERS angstrom
4.161 0.000 0.000
0.000 2.776 -0.095
0.000 0.512 7.314

***

! KCr2W PBE-GGA relaxed; values from VASP
! Symmetry ... C2/m (12)
! Energy ... -29.2 eV per formula unit
! ΔH_f (0 K) ... 1.03 eV/atom
! ρ ... 5.96 g/cm3
! ΔE to the lowest computed polymorph ... 0.191 eV per atom
! Total magnetic moment ... 0.000 μB per formula unit
&SYSTEM
  ibrav = 0, nat = 4, ntyp = 3
/
ATOMIC_SPECIES
Cr 52.00 Cr.upf
W 183.84 W.upf
K 39.10 K.upf
ATOMIC_POSITIONS crystal
Cr 0.490 0.490 0.640
Cr 0.010 0.010 0.860
W 0.750 0.750 0.750
K 0.250 0.250 0.250
CELL_PARAMETERS angstrom
-2.749 -0.711 -3.826
-0.532 -2.501 -4.020
-3.745 -4.991 3.236

***

! K2CrW PBE-GGA relaxed; values from VASP
! Symmetry ... Pmmm (47)
! Energy ... -18.2 eV per formula unit
! ΔH_f (0 K) ... 1.65 eV/atom
! ρ ... 5.36 g/cm3
! ΔE to the lowest computed polymorph ... 0.690 eV per atom
! Total magnetic moment ... 2.872 μB per formula unit
&SYSTEM
  ibrav = 0, nat = 4, ntyp = 3
/
ATOMIC_SPECIES
Cr 52.00 Cr.upf
K 39.10 K.upf
W 183.84 W.upf
ATOMIC_POSITIONS crystal
Cr 0.500 0.500 0.750
K 0.000 0.000 0.499
K 0.000 0.000 0.001
W 0.500 0.500 0.250
CELL_PARAMETERS angstrom
-1.093 1.715 -2.026
-5.601 -1.320 1.904
0.190 4.318 3.554

***

! KCrW2 PBE-GGA relaxed; values from VASP
! Symmetry ... P4mm (99)
! Energy ... -32.7 eV per formula unit
! ΔH_f (0 K) ... 0.97 eV/atom
! ρ ... 8.64 g/cm3
! ΔE to the lowest computed polymorph ... 0.105 eV per atom
! Total magnetic moment ... 2.727 μB per formula unit
&SYSTEM
  ibrav = 0, nat = 4, ntyp = 3
/
ATOMIC_SPECIES
K 39.10 K.upf
Cr 52.00 Cr.upf
W 183.84 W.upf
ATOMIC_POSITIONS crystal
K 0.500 0.500 0.740
Cr 0.000 0.000 0.411
W 0.000 0.000 0.092
W 0.500 0.500 0.257
CELL_PARAMETERS angstrom
3.166 0.000 0.000
0.000 3.166 0.000
0.000 0.000 8.794

***

! KCrW PBE-GGA relaxed; values from VASP
! Symmetry ... F-43m (216)
! Energy ... -17.0 eV per formula unit
! ΔH_f (0 K) ... 2.21 eV/atom
! ρ ... 6.25 g/cm3
! ΔE to the lowest computed polymorph ... 1.108 eV per atom
! Total magnetic moment ... 0.806 μB per formula unit
&SYSTEM
  ibrav = 0, nat = 3, ntyp = 3
/
ATOMIC_SPECIES
K 39.10 K.upf
W 183.84 W.upf
Cr 52.00 Cr.upf
ATOMIC_POSITIONS crystal
K 0.000 0.000 0.000
W 0.500 0.500 0.500
Cr 0.750 0.750 0.750
CELL_PARAMETERS angstrom
4.693 0.000 0.000
2.347 4.064 0.000
2.347 1.355 3.832

***

! KYCr4 PBE-GGA relaxed; values from VASP
! Symmetry ... F-43m (216)
! Energy ... -39.2 eV per formula unit
! ΔH_f (0 K) ... 1.14 eV/atom
! ρ ... 4.01 g/cm3
! Total magnetic moment ... 16.432 μB per formula unit
&SYSTEM
  ibrav = 0, nat = 6, ntyp = 3
/
ATOMIC_SPECIES
Cr 52.00 Cr.upf
K 39.10 K.upf
Y 88.91 Y.upf
ATOMIC_POSITIONS crystal
Cr 0.373 0.373 0.880
Cr 0.880 0.373 0.373
Cr 0.373 0.880 0.373
Cr 0.373 0.373 0.373
K 0.750 0.750 0.750
Y 0.000 0.000 0.000
CELL_PARAMETERS angstrom
0.000 4.113 4.113
4.113 0.000 4.113
4.113 4.113 0.000

***

! KYCr2 PBE-GGA relaxed; values from VASP
! Symmetry ... I-4m2 (119)
! Energy ... -22.2 eV per formula unit
! ΔH_f (0 K) ... 1.16 eV/atom
! ρ ... 3.49 g/cm3
! ΔE to the lowest computed polymorph ... 0.551 eV per atom
! Total magnetic moment ... 9.073 μB per formula unit
&SYSTEM
  ibrav = 0, nat = 4, ntyp = 3
/
ATOMIC_SPECIES
Y 88.91 Y.upf
K 39.10 K.upf
Cr 52.00 Cr.upf
ATOMIC_POSITIONS crystal
Y 0.750 0.250 0.500
K 0.500 0.500 0.000
Cr 0.000 0.000 0.000
Cr 0.250 0.750 0.500
CELL_PARAMETERS angstrom
-5.369 -0.864 -2.871
-4.652 -2.006 3.486
4.170 4.506 0.338